Entry 1:
First-principles (PBE-GGA) data for an optimized crystal structure of KLiTm2F8, as listed in Alexandria.

abc: 3.832 5.957 7.456
angles: 97.50 90.00 90.00
Sites, in units of the cell vectors:
F (0.500, 0.722, 0.035)
F (0.500, 0.278, 0.965)
F (0.000, 0.789, 0.790)
F (0.500, 0.709, 0.513)
F (0.000, 0.366, 0.740)
F (0.000, 0.211, 0.210)
F (0.000, 0.634, 0.260)
F (0.500, 0.291, 0.487)
Li (0.000, 0.000, 0.000)
Tm (0.500, 0.542, 0.759)
Tm (0.500, 0.458, 0.241)
K (0.000, 0.000, 0.500)

Output
Space group: P2/m (10)
Total moment, μB/cell: 0.000
Formation energy without anion corrections, eV/atom: -3.71

Entry 2:
First-principles (PBE-GGA) data for an optimized crystal structure of AcPr6In3, as listed in Alexandria.

abc: 8.171 9.251 9.251
angles: 87.48 90.00 90.00
Sites, in units of the cell vectors:
In (0.426, 0.965, 0.738)
In (0.426, 0.262, 0.035)
In (0.926, 0.035, 0.262)
In (0.861, 0.483, 0.517)
In (0.926, 0.738, 0.965)
In (0.361, 0.517, 0.483)
Pr (0.807, 0.994, 0.591)
Pr (0.307, 0.006, 0.409)
Pr (0.627, 0.668, 0.732)
Pr (0.208, 0.980, 0.020)
Pr (0.127, 0.332, 0.268)
Pr (0.627, 0.268, 0.332)
Pr (0.708, 0.020, 0.980)
Pr (0.074, 0.706, 0.294)
Pr (0.307, 0.591, 0.994)
Pr (0.574, 0.294, 0.706)
Pr (0.127, 0.732, 0.668)
Pr (0.807, 0.409, 0.006)
Ac (0.122, 0.274, 0.726)
Ac (0.622, 0.726, 0.274)

Output
Space group: Cmc2_1 (36)
Formation enthalpy at 0 K, eV/atom: -0.19
Total moment, μB/cell: 0.000

Entry 3:
First-principles (PBE-GGA) data for an optimized crystal structure of YUIn2O8, as listed in Alexandria.

abc: 5.018 5.018 6.874
angles: 90.00 90.00 90.22
Site moments in Bohr magnetons follow the coordinates.
Sites, in units of the cell vectors:
O (0.699, 0.699, 0.000)  0.05
O (0.812, 0.189, 0.229)  0.04
O (0.812, 0.189, 0.771)  0.04
O (0.188, 0.811, 0.771)  0.04
O (0.685, 0.686, 0.500)  0.24
O (0.315, 0.314, 0.500)  0.24
O (0.301, 0.301, 0.000)  0.05
O (0.188, 0.811, 0.229)  0.04
Y (0.000, 0.000, 0.500)  0.01
In (0.500, 0.500, 0.249)  -0.01
In (0.500, 0.500, 0.751)  -0.01
U (0.000, 0.000, 0.000)  -0.02

Output
Space group: Cmmm (65)
Total moment, μB/cell: 0.858
Formation energy without anion corrections, eV/atom: -2.33

Number 1: uncorrected energy -71.4 eV/cell. Number 2: uncorrected energy -85.8 eV/cell. Number 3: uncorrected energy -90.9 eV/cell.